Entry 1:
Here is a relaxed structure of Sr2MgSn4Hg3 from Alexandria via LeMat-Bulk. Energies are from GGA-PBE.

a b c (Å): 4.810 4.810 12.552
angles (deg): 90.00 90.00 90.00
Fractional coordinates of all 10 atoms:
Sr1 0.500 0.000 0.248
Sr2 0.000 0.500 0.752
Mg1 0.500 0.500 0.500
Sn1 0.500 0.500 0.000
Sn2 0.000 0.000 0.000
Sn3 0.500 0.000 0.636
Sn4 0.000 0.500 0.364
Hg1 0.000 0.000 0.500
Hg2 0.500 0.000 0.858
Hg3 0.000 0.500 0.142

Summary:
Density of states at the Fermi level, states/eV/f.u.: 2.71
DFT formation energy, eV/atom: -0.343

=====

Entry 2:
Here is a relaxed structure of Ca3DyEr3S8 from Alexandria via LeMat-Bulk. Energies are from GGA-PBE.

a b c (Å): 7.828 7.828 7.941
angles (deg): 119.53 90.00 120.00
Fractional coordinates of all 15 atoms:
Ca1 0.000 0.000 0.000
Ca2 0.000 0.500 0.000
Ca3 0.500 0.500 0.000
Dy1 0.000 0.000 0.500
Er1 0.500 0.000 0.500
Er2 0.500 0.500 0.500
Er3 0.000 0.500 0.500
S1 0.253 0.506 0.259
S2 0.747 0.494 0.741
S3 0.754 0.507 0.262
S4 0.246 0.493 0.738
S5 0.754 0.009 0.263
S6 0.246 0.991 0.737
S7 0.255 0.009 0.263
S8 0.745 0.991 0.737

Summary:
Energy, eV/atom: -5.906
Density of states at the Fermi level, states/eV/f.u.: 4.30

=====

- What is the density of states at the Fermi level in the first record?
  2.71 states/eV/f.u.

=====

Copy entry 2 word for word.
Here is a relaxed structure of Ca3DyEr3S8 from Alexandria via LeMat-Bulk. Energies are from GGA-PBE.

a b c (Å): 7.828 7.828 7.941
angles (deg): 119.53 90.00 120.00
Fractional coordinates of all 15 atoms:
Ca1 0.000 0.000 0.000
Ca2 0.000 0.500 0.000
Ca3 0.500 0.500 0.000
Dy1 0.000 0.000 0.500
Er1 0.500 0.000 0.500
Er2 0.500 0.500 0.500
Er3 0.000 0.500 0.500
S1 0.253 0.506 0.259
S2 0.747 0.494 0.741
S3 0.754 0.507 0.262
S4 0.246 0.493 0.738
S5 0.754 0.009 0.263
S6 0.246 0.991 0.737
S7 0.255 0.009 0.263
S8 0.745 0.991 0.737

Summary:
Energy, eV/atom: -5.906
Density of states at the Fermi level, states/eV/f.u.: 4.30

=====

Copy entry 2 word for word.
Here is a relaxed structure of Ca3DyEr3S8 from Alexandria via LeMat-Bulk. Energies are from GGA-PBE.

a b c (Å): 7.828 7.828 7.941
angles (deg): 119.53 90.00 120.00
Fractional coordinates of all 15 atoms:
Ca1 0.000 0.000 0.000
Ca2 0.000 0.500 0.000
Ca3 0.500 0.500 0.000
Dy1 0.000 0.000 0.500
Er1 0.500 0.000 0.500
Er2 0.500 0.500 0.500
Er3 0.000 0.500 0.500
S1 0.253 0.506 0.259
S2 0.747 0.494 0.741
S3 0.754 0.507 0.262
S4 0.246 0.493 0.738
S5 0.754 0.009 0.263
S6 0.246 0.991 0.737
S7 0.255 0.009 0.263
S8 0.745 0.991 0.737

Summary:
Energy, eV/atom: -5.906
Density of states at the Fermi level, states/eV/f.u.: 4.30

=====

- What is the formula in the first record?
  Sr2MgSn4Hg3